(1)
Below is an optimized crystal structure of Ce2PmSmAs4, with properties calculated at the GGA-PBE level.

abc: 4.220 7.307 7.311
angles: 70.53 90.00 90.00
Element x y z (fractional)
Ce: 0.000 0.000 0.000
Ce: 0.500 0.000 0.500
Pm: 0.000 0.500 0.500
Sm: 0.500 0.500 0.000
As: 0.000 0.753 0.750
As: 0.000 0.247 0.250
As: 0.500 0.753 0.248
As: 0.500 0.247 0.752

The symmetry is P2/m. The formation energy comes out at -1483 meV per atom.

(2)
Below is an optimized crystal structure of Cr2NiSb, with properties calculated at the GGA-PBE level.

abc: 3.073 3.542 5.570
angles: 90.00 90.00 90.00
Element x y z (fractional)
Cr: 0.000 0.000 0.020
Cr: 0.000 0.000 0.480
Ni: 0.500 0.500 0.250
Sb: 0.500 0.500 0.750

The symmetry is Pmmm. The calculated total energy is -6.918 eV per atom.

(3)
Below is an optimized crystal structure of AcPmF, with properties calculated at the GGA-PBE level.

abc: 4.012 4.012 6.022
angles: 90.00 90.00 120.00
Element x y z (fractional)
Ac: 0.000 0.000 0.920
F: 0.333 0.667 0.650
Pm: 0.667 0.333 0.431

The symmetry is P3m1. The calculated total energy is -5.099 eV per atom.

(4)
Below is an optimized crystal structure of PuGa2AgAu5, with properties calculated at the GGA-PBE level.

abc: 4.700 4.700 8.436
angles: 90.00 90.00 90.00
Element x y z (fractional)
Pu: 0.000 0.000 0.500
Ga: 0.500 0.500 0.144
Ga: 0.500 0.500 0.856
Ag: 0.000 0.000 0.000
Au: 0.000 0.500 0.266
Au: 0.500 0.000 0.266
Au: 0.000 0.500 0.734
Au: 0.500 0.000 0.734
Au: 0.500 0.500 0.500

The symmetry is P4/mmm. The formation energy comes out at -135 meV per atom.

(5)
Below is an optimized crystal structure of SrAg2Au2, with properties calculated at the GGA-PBE level.

abc: 4.373 4.373 12.761
angles: 99.87 99.87 90.00
Element x y z (fractional)
Sr: 0.626 0.626 0.253
Sr: 0.374 0.374 0.747
Ag: 0.000 0.500 0.000
Ag: 0.180 0.180 0.360
Ag: 0.500 0.000 0.000
Ag: 0.820 0.820 0.640
Au: 0.750 0.250 0.500
Au: 0.928 0.928 0.856
Au: 0.072 0.072 0.144
Au: 0.250 0.750 0.500

The symmetry is I4/mmm. The formation energy comes out at -325 meV per atom. As for the offset from the most stable computed form: 57 meV/atom.

(6)
Below is an optimized crystal structure of TlGeSeCl2, with properties calculated at the GGA-PBE level.

abc: 5.156 5.156 5.129
angles: 90.00 90.00 90.00
Element x y z (fractional)
Tl: 0.500 0.500 0.500
Ge: 0.000 0.000 0.000
Se: 0.000 0.000 0.500
Cl: 0.000 0.500 0.000
Cl: 0.500 0.000 0.000

The symmetry is P4/mmm. The calculated total energy is -3.349 eV per atom.

(7)
Below is an optimized crystal structure of CrNiIr2, with properties calculated at the GGA-PBE level.

abc: 4.504 4.504 4.504
angles: 130.19 130.19 73.11
Element x y z (fractional)
Ni: 0.250 0.750 0.500
Ir: 0.000 0.000 0.000
Ir: 0.500 0.500 0.000
Cr: 0.750 0.250 0.500

The symmetry is I4/mmm. The formation energy comes out at -118 meV per atom.

(8)
Below is an optimized crystal structure of LaTeAs3, with properties calculated at the GGA-PBE level.

abc: 5.662 5.662 5.662
angles: 90.00 90.00 90.00
Element x y z (fractional)
As: 0.000 0.500 0.000
As: 0.000 0.000 0.500
As: 0.500 0.000 0.000
Te: 0.500 0.500 0.500
La: 0.000 0.000 0.000

The symmetry is Pm-3m. As for the offset from the most stable computed form: 620 meV/atom.

(9)
Below is an optimized crystal structure of Be5CuNi4, with properties calculated at the GGA-PBE level.

abc: 2.601 2.601 13.437
angles: 90.00 90.00 90.00
Element x y z (fractional)
Be: 0.500 0.500 0.109
Be: 0.500 0.500 0.303
Be: 0.500 0.500 0.500
Be: 0.500 0.500 0.697
Be: 0.500 0.500 0.891
Cu: 0.000 0.000 0.000
Ni: 0.000 0.000 0.206
Ni: 0.000 0.000 0.402
Ni: 0.000 0.000 0.598
Ni: 0.000 0.000 0.794

The symmetry is P4/mmm. The formation energy comes out at -396 meV per atom.

(10)
Below is an optimized crystal structure of TaI2Br, with properties calculated at the GGA-PBE level.

abc: 6.460 6.561 7.810
angles: 81.90 74.76 64.75
Element x y z (fractional)
I: 0.764 0.973 0.227
I: 0.103 0.311 0.216
I: 0.552 0.336 0.816
I: 0.241 0.999 0.736
Br: 0.414 0.651 0.261
Br: 0.872 0.680 0.839
Ta: 0.199 0.701 0.015
Ta: 0.453 0.944 0.013

The symmetry is P1. As for the offset from the most stable computed form: 0 meV/atom.

(11)
Below is an optimized crystal structure of La3PmEr2As6, with properties calculated at the GGA-PBE level.

abc: 7.376 7.376 7.367
angles: 99.61 99.61 120.00
Element x y z (fractional)
La: 0.166 0.834 0.500
La: 0.834 0.166 0.500
La: 0.500 0.500 0.500
Pm: 0.000 0.000 0.000
Er: 0.333 0.667 0.000
Er: 0.667 0.333 0.000
As: 0.921 0.582 0.762
As: 0.740 0.740 0.237
As: 0.079 0.418 0.238
As: 0.582 0.921 0.762
As: 0.260 0.260 0.763
As: 0.418 0.079 0.238

The symmetry is C2/m. The formation energy comes out at -1534 meV per atom.

(12)
Below is an optimized crystal structure of Tl6Hg2Te3, with properties calculated at the GGA-PBE level.

abc: 5.516 5.154 14.329
angles: 101.66 101.78 89.01
Element x y z (fractional)
Tl: 0.025 0.616 0.230
Tl: 0.586 0.090 0.175
Tl: 0.975 0.384 0.770
Tl: 0.414 0.910 0.825
Tl: 0.676 0.700 0.410
Tl: 0.324 0.300 0.590
Hg: 0.675 0.468 0.935
Hg: 0.325 0.532 0.065
Te: 0.000 0.000 0.000
Te: 0.728 0.815 0.641
Te: 0.272 0.185 0.359

The symmetry is P-1. The calculated total energy is -2.391 eV per atom.

Results for total magnetic moment: 1.24; 6.16; 0.00; 5.48; 0.00; 0.00; 0.16; 0.00; 0.00; 0.00; 0.00; 0.00 (in Bohr magnetons per cell, following the order of the records).